CeHo2MoO8 PBE+U optimized geometry; total energy = -8.023 eV/atom; ρ = 6.7 g/cm3
1.0
-0.878 -4.040 -2.823
3.970 1.227 -2.788
4.027 -3.733 4.090
Ho O Mo Ce
2 8 1 1
Cartesian
4.593 -4.231 0.290
2.526 -2.315 -1.810
2.950 -2.727 0.338
0.873 -3.876 -1.946
6.245 -2.670 0.425
0.855 -0.786 -1.558
3.940 -0.534 -1.915
4.169 -3.819 -1.858
3.179 -6.012 0.395
6.264 -5.760 0.038
0.000 0.000 0.000
2.014 -1.866 2.045